This record from the Alexandria database describes a relaxed Pm2SmHo4Tm2 crystal. The functional is PBE-GGA.

Properties
Volume, Å³/atom: 32.1
Calculated formation energy, eV/atom: 0.082

abc: 5.990 6.603 8.576
angles: 80.02 70.36 64.78
Sites, in units of the cell vectors:
Pm (0.231, 0.326, 0.343)
Pm (0.769, 0.674, 0.657)
Sm (0.500, 0.000, 0.000)
Ho (0.120, 0.129, 0.759)
Ho (0.237, 0.579, 0.884)
Ho (0.763, 0.421, 0.116)
Ho (0.880, 0.871, 0.241)
Tm (0.319, 0.770, 0.446)
Tm (0.681, 0.230, 0.554)